Here is an optimized crystal structure of SnTeOs2 from Alexandria via LeMat-Bulk. Energies are from PBE.

The raw formation energy comes out at 17.52 kcal/mol of atoms. As for the space group: Fm-3m, No. 225. The energy above the most stable polymorph in this dataset is 0.000 eV per atom.

extended XYZ file:
```
4
Lattice="0.000 3.295 3.295 3.295 0.000 3.295 3.295 3.295 0.000" Properties=species:S:1:pos:R:3 pbc="T T T"
Sn 0.000 0.000 0.000
Te 3.295 3.295 3.295
Os 1.648 1.648 1.648
Os 4.943 4.943 4.943
```



Here is an optimized crystal structure of CuCl2 from Alexandria via LeMat-Bulk. Energies are from PBE.

The raw formation energy comes out at -11.19 kcal/mol of atoms. As for the space group: Fmmm, No. 69.

extended XYZ file:
```
3
Lattice="0.000 4.098 6.696 1.652 0.000 6.696 1.652 4.098 0.000" Properties=species:S:1:pos:R:3 pbc="T T T"
Cu 0.000 0.000 0.000
Cl 1.652 4.098 5.143
Cl 1.652 4.098 8.249
```



Here is an optimized crystal structure of Pr3Nd4Th2 from Alexandria via LeMat-Bulk. Energies are from PBE.

As for the space group: P-1, No. 2. The energy above the most stable polymorph in this dataset is 0.000 eV per atom. As for the energy of formation from the pure elements: 5.0 kJ per mole of atoms.

extended XYZ file:
```
18
Lattice="7.350 0.000 0.000 1.853 7.981 0.000 0.047 2.547 10.714" Properties=species:S:1:pos:R:3 pbc="T T T"
Pr 0.926 1.560 0.566
Pr 2.838 5.256 5.330
Pr 4.613 7.388 2.992
Pr 4.637 3.139 7.722
Pr 6.412 5.272 5.384
Pr 8.324 8.968 10.148
Nd 0.954 3.160 7.743
Nd 0.974 2.320 4.172
Nd 2.819 6.153 8.933
Nd 4.647 8.968 10.098
Nd 4.603 1.560 0.616
Nd 6.431 4.375 1.781
Nd 8.276 8.208 6.542
Nd 8.296 7.368 2.971
Th 2.802 4.391 1.826
Th 4.696 8.225 6.555
Th 4.554 2.302 4.158
Th 6.447 6.137 8.888
```



Here is an optimized crystal structure of Cs3Mg2I8 from Alexandria via LeMat-Bulk. Energies are from PBE.

The raw formation energy comes out at -26.31 kcal/mol of atoms. As for the space group: R-3m, No. 166.

extended XYZ file:
```
13
Lattice="4.170 2.408 11.067 -4.170 2.408 11.067 0.000 -4.816 11.067" Properties=species:S:1:pos:R:3 pbc="T T T"
Cs 0.000 0.000 0.000
Cs 0.000 0.000 6.860
Cs 0.000 0.000 26.341
Mg 0.000 0.000 13.379
Mg 0.000 0.000 19.822
I -2.171 -1.253 18.700
I 0.000 -2.506 14.501
I -2.171 1.253 14.501
I 0.000 0.000 10.681
I 0.000 0.000 22.521
I 2.171 -1.253 18.700
I 0.000 2.506 18.700
I 2.171 1.253 14.501
```



Here is an optimized crystal structure of PmCd2Au from Alexandria via LeMat-Bulk. Energies are from PBE.

As for the space group: P4/mmm, No. 123. The energy above the most stable polymorph in this dataset is 0.105 eV per atom. As for the energy of formation from the pure elements: -37.0 kJ per mole of atoms.

extended XYZ file:
```
4
Lattice="4.386 0.000 0.000 0.000 4.386 0.000 0.000 0.000 5.019" Properties=species:S:1:pos:R:3 pbc="T T T"
Pm 0.000 0.000 0.000
Cd 0.000 2.193 2.510
Cd 2.193 0.000 2.510
Au 2.193 2.193 0.000
```



Here is an optimized crystal structure of Hf4PS5 from Alexandria via LeMat-Bulk. Energies are from PBE.

The raw formation energy comes out at -34.29 kcal/mol of atoms. As for the space group: C2/m, No. 12.

extended XYZ file:
```
10
Lattice="7.920 -1.814 0.000 7.920 1.814 0.000 -1.547 0.000 7.175" Properties=species:S:1:pos:R:3 pbc="T T T"
Hf -0.359 0.000 1.737
Hf 3.902 0.000 6.561
Hf 10.391 0.000 0.614
Hf 14.651 0.000 5.438
P 7.920 0.000 0.000
S 2.107 0.000 2.340
S 1.397 0.000 5.961
S 7.146 0.000 3.587
S 12.896 0.000 1.214
S 12.185 0.000 4.835
```



Here is an optimized crystal structure of LaTb14Ce from Alexandria via LeMat-Bulk. Energies are from PBE.

As for the space group: Amm2, No. 38. As for the energy of formation from the pure elements: 2.3 kJ per mole of atoms.

extended XYZ file:
```
16
Lattice="11.570 0.000 0.000 0.000 3.593 6.201 0.000 -3.593 6.201" Properties=species:S:1:pos:R:3 pbc="T T T"
La 0.000 0.000 0.000
Tb 0.000 -1.796 3.111
Tb 0.000 1.796 3.111
Tb 2.890 0.000 8.266
Tb 2.927 0.000 2.082
Tb 2.923 -1.780 5.185
Tb 2.923 1.780 5.185
Tb 5.785 0.000 4.143
Tb 5.785 -1.796 7.256
Tb 5.785 0.000 10.345
Tb 5.785 1.796 7.256
Tb 8.644 0.000 2.082
Tb 8.648 -1.780 5.185
Tb 8.648 1.780 5.185
Tb 8.681 0.000 8.266
Ce 0.000 0.000 6.200
```



Here is an optimized crystal structure of LiSm2Ag from Alexandria via LeMat-Bulk. Energies are from PBE.

As for the space group: R-3m, No. 166. The energy above the most stable polymorph in this dataset is 0.147 eV per atom. As for the energy of formation from the pure elements: 6.4 kJ per mole of atoms.

extended XYZ file:
```
4
Lattice="1.738 1.004 10.423 -1.738 1.004 10.423 0.000 -2.007 10.423" Properties=species:S:1:pos:R:3 pbc="T T T"
Li 0.000 0.000 0.000
Sm 0.000 0.000 7.673
Sm 0.000 0.000 23.596
Ag 0.000 0.000 15.635
```



no.,DOS at the Fermi energy (states/eV/atom),spin magnetization (Bohr magnetons per cell)
1,1.015,0.00
2,0.343,0.90
3,1.628,0.00
4,1.841,0.00
5,0.628,0.00
6,0.383,0.00
7,1.311,0.93
8,0.688,0.00